{"formula": "Fe5O8F2", "functional": "GGA+U", "state": "optimized geometry", "density_g_cm3": 4.63, "magnetic_moment_mub_per_fu": 19.06, "vol_a3_per_atom": 10.6, "de_polymorph_kj_per_mol_fu": 130, "crystal_system": "triclinic", "lattice": [[-2.5869, 3.3575, -1.8159], [-3.1995, -3.8337, -2.2994], [-5.6169, 1.6807, 11.4813]], "species": ["Fe", "Fe", "Fe", "Fe", "Fe", "Fe", "Fe", "Fe", "Fe", "Fe", "O", "O", "O", "O", "O", "O", "O", "O", "O", "O", "O", "O", "O", "O", "O", "O", "F", "F", "F", "F"], "frac_coords": [[0.9716, 0.4117, 0.6052], [0.9819, 0.1973, 0.8051], [0.4913, 0.4884, 0.0018], [0.5265, 0.2899, 0.2016], [0.4792, 0.6927, 0.7917], [0.5146, 0.8883, 0.5936], [0.5176, 0.0911, 0.3985], [0.9838, 0.6256, 0.4051], [0.0043, 0.8088, 0.1963], [0.0189, 0.0078, 0.0017], [0.2999, 0.6493, 0.6532], [0.6988, 0.3582, 0.3393], [0.3032, 0.4382, 0.8607], [0.6948, 0.1462, 0.5380], [0.3143, 0.8493, 0.4630], [0.8157, 0.0518, 0.1319], [0.8120, 0.8653, 0.3349], [0.3169, 0.0498, 0.2615], [0.6939, 0.5543, 0.1430], [0.1947, 0.7446, 0.0573], [0.3099, 0.2483, 0.0714], [0.1875, 0.9444, 0.8642], [0.7843, 0.6650, 0.5403], [0.8025, 0.2488, 0.9449], [0.6865, 0.9501, 0.7328], [0.8033, 0.4487, 0.7429], [0.1880, 0.3475, 0.4611], [0.2093, 0.1358, 0.6569], [0.6941, 0.7527, 0.9375], [0.2008, 0.5502, 0.2644]]}